Entry 1:
FeMo2W, optimized geometry, DFT PBE; E above lowest polymorph = 53 meV/atom; DFT formation energy = 0.115 eV per atom; calculated density = 11.9 g cm⁻³; E_tot = -10.65 eV/atom; DOS at the Fermi energy = 3.45 states/eV/f.u.
1.0
4.367 0.000 0.000
0.000 4.367 0.000
0.000 0.000 3.155
Fe Mo W
1 2 1
direct
0.000 0.000 0.000 Fe
0.000 0.500 0.500 Mo
0.500 0.000 0.500 Mo
0.500 0.500 0.000 W

Entry 2:
FeMo6W8, optimized geometry, DFT PBE; DFT formation energy = 0.257 eV per atom; calculated density = 14.4 g cm⁻³; E_tot = -11.55 eV/atom; DOS at the Fermi energy = 16.19 states/eV/f.u.
1.0
3.506 2.024 5.680
-3.506 2.024 5.680
0.000 -4.048 5.680
Fe Mo W
1 6 8
direct
0.000 0.000 0.000 Fe
0.050 0.283 0.548 Mo
0.283 0.548 0.050 Mo
0.452 0.950 0.717 Mo
0.548 0.050 0.283 Mo
0.717 0.452 0.950 Mo
0.950 0.717 0.452 Mo
0.125 0.831 0.661 W
0.169 0.339 0.875 W
0.339 0.875 0.169 W
0.423 0.423 0.423 W
0.577 0.577 0.577 W
0.661 0.125 0.831 W
0.831 0.661 0.125 W
0.875 0.169 0.339 W

Entry 3:
YFeMo2W, optimized geometry, DFT PBE; DFT formation energy = 2.582 eV per atom; calculated density = 8.8 g cm⁻³; E_tot = -7.33 eV/atom; DOS at the Fermi energy = 7.07 states/eV/f.u.
1.0
4.756 0.000 0.000
0.000 4.756 0.000
0.000 0.000 4.344
Y Fe Mo W
1 1 2 1
direct
0.000 0.000 0.000 Y
0.000 0.000 0.500 Fe
0.000 0.500 0.000 Mo
0.500 0.000 0.000 Mo
0.500 0.500 0.500 W

Entry 4:
YFe2Mo, optimized geometry, DFT PBE; E above lowest polymorph = 403 meV/atom; DFT formation energy = 0.576 eV per atom; calculated density = 7.3 g cm⁻³; E_tot = -7.98 eV/atom; DOS at the Fermi energy = 3.89 states/eV/f.u.
1.0
1.484 0.857 8.810
-1.484 0.857 8.810
0.000 -1.714 8.810
Y Fe Mo
1 2 1
direct
0.000 0.000 0.000 Y
0.494 0.494 0.494 Fe
0.760 0.760 0.760 Fe
0.233 0.233 0.233 Mo

Entry 5:
YFeMo2, optimized geometry, DFT PBE; E above lowest polymorph = 712 meV/atom; DFT formation energy = 0.955 eV per atom; calculated density = 6.1 g cm⁻³; E_tot = -8.19 eV/atom; DOS at the Fermi energy = 5.48 states/eV/f.u.
1.0
-2.369 2.369 8.193
2.369 -2.369 8.193
2.369 2.369 -8.193
Y Fe Mo
2 2 4
direct
0.375 0.625 0.750 Y
0.625 0.375 0.250 Y
0.125 0.875 0.250 Fe
0.875 0.125 0.750 Fe
0.000 0.000 0.000 Mo
0.000 0.000 0.500 Mo
0.000 0.500 0.000 Mo
0.500 0.000 0.500 Mo

Entry 6:
YFeMo4, optimized geometry, DFT PBE; DFT formation energy = 0.376 eV per atom; calculated density = 8.1 g cm⁻³; E_tot = -9.33 eV/atom; DOS at the Fermi energy = 5.06 states/eV/f.u.
1.0
0.000 3.785 3.785
3.785 0.000 3.785
3.785 3.785 0.000
Y Fe Mo
1 1 4
direct
0.000 0.000 0.000 Y
0.750 0.750 0.750 Fe
0.375 0.375 0.375 Mo
0.375 0.375 0.874 Mo
0.375 0.874 0.375 Mo
0.874 0.375 0.375 Mo

Entry 7:
YFe2Mo, optimized geometry, DFT PBE; E above lowest polymorph = 191 meV/atom; DFT formation energy = 0.363 eV per atom; calculated density = 7.8 g cm⁻³; E_tot = -8.19 eV/atom; DOS at the Fermi energy = 5.26 states/eV/f.u.
1.0
4.549 0.000 0.000
0.000 4.549 0.000
0.000 0.000 3.052
Y Fe Mo
1 2 1
direct
0.000 0.000 0.000 Y
0.000 0.500 0.500 Fe
0.500 0.000 0.500 Fe
0.500 0.500 0.000 Mo

Entry 8:
YFe2Mo, optimized geometry, DFT PBE; E above lowest polymorph = 206 meV/atom; DFT formation energy = 0.378 eV per atom; calculated density = 7.6 g cm⁻³; E_tot = -8.18 eV/atom; DOS at the Fermi energy = 4.87 states/eV/f.u.
1.0
-1.527 2.282 4.644
1.527 -2.282 4.644
1.527 2.282 -4.644
Y Fe Mo
1 2 1
direct
0.000 0.000 0.000 Y
0.277 0.777 0.500 Fe
0.496 0.496 0.000 Fe
0.722 0.222 0.500 Mo

Entry 9:
YFeMo2, optimized geometry, DFT PBE; E above lowest polymorph = 398 meV/atom; DFT formation energy = 0.640 eV per atom; calculated density = 8.0 g cm⁻³; E_tot = -8.51 eV/atom; DOS at the Fermi energy = 4.76 states/eV/f.u.
1.0
1.469 0.848 9.356
-1.469 0.848 9.356
0.000 -1.696 9.356
Y Fe Mo
1 1 2
direct
0.000 0.000 0.000 Y
0.500 0.500 0.500 Fe
0.237 0.237 0.237 Mo
0.763 0.763 0.763 Mo

Entry 10:
YFe2Mo, optimized geometry, DFT PBE; E above lowest polymorph = 367 meV/atom; DFT formation energy = 0.540 eV per atom; calculated density = 7.5 g cm⁻³; E_tot = -8.02 eV/atom; DOS at the Fermi energy = 5.90 states/eV/f.u.
1.0
-1.891 1.891 4.583
1.891 -1.891 4.583
1.891 1.891 -4.583
Y Fe Mo
1 2 1
direct
0.000 0.000 0.000 Y
0.250 0.750 0.500 Fe
0.500 0.500 0.000 Fe
0.750 0.250 0.500 Mo

Entry 11:
YFeMo2, optimized geometry, DFT PBE; E above lowest polymorph = 375 meV/atom; DFT formation energy = 0.618 eV per atom; calculated density = 8.6 g cm⁻³; E_tot = -8.53 eV/atom; DOS at the Fermi energy = 2.01 states/eV/f.u.
1.0
0.000 3.195 3.195
3.195 0.000 3.195
3.195 3.195 0.000
Y Fe Mo
1 1 2
direct
0.000 0.000 0.000 Y
0.500 0.500 0.500 Fe
0.250 0.250 0.250 Mo
0.750 0.750 0.750 Mo

Entry 12:
YFeMo2, optimized geometry, DFT PBE; E above lowest polymorph = 102 meV/atom; DFT formation energy = 0.345 eV per atom; calculated density = 8.1 g cm⁻³; E_tot = -8.80 eV/atom; DOS at the Fermi energy = 4.23 states/eV/f.u.
1.0
-1.570 2.265 4.844
1.570 -2.265 4.844
1.570 2.265 -4.844
Y Fe Mo
1 1 2
direct
0.000 0.000 0.000 Y
0.500 0.500 0.000 Fe
0.273 0.773 0.500 Mo
0.727 0.227 0.500 Mo

Entry 13:
YFe2Mo2, optimized geometry, DFT PBE; E above lowest polymorph = 282 meV/atom; DFT formation energy = 0.320 eV per atom; calculated density = 8.3 g cm⁻³; E_tot = -8.69 eV/atom; DOS at the Fermi energy = 5.44 states/eV/f.u.
1.0
7.414 0.000 0.000
0.000 7.414 0.000
0.000 0.000 2.858
Y Fe Mo
2 4 4
direct
0.000 0.000 0.000 Y
0.500 0.500 0.000 Y
0.125 0.375 0.000 Fe
0.375 0.875 0.000 Fe
0.625 0.125 0.000 Fe
0.875 0.625 0.000 Fe
0.158 0.658 0.500 Mo
0.342 0.158 0.500 Mo
0.658 0.842 0.500 Mo
0.842 0.342 0.500 Mo

Entry 14:
YFe2Mo, optimized geometry, DFT PBE; E above lowest polymorph = 381 meV/atom; DFT formation energy = 0.554 eV per atom; calculated density = 7.4 g cm⁻³; E_tot = -8.00 eV/atom; DOS at the Fermi energy = 4.55 states/eV/f.u.
1.0
1.565 0.904 7.872
-1.565 0.904 7.872
0.000 -1.808 7.872
Y Fe Mo
1 2 1
direct
0.000 0.000 0.000 Y
0.238 0.238 0.238 Fe
0.762 0.762 0.762 Fe
0.500 0.500 0.500 Mo

Entry 15:
YFeMo2, optimized geometry, DFT PBE; E above lowest polymorph = 254 meV/atom; DFT formation energy = 0.497 eV per atom; calculated density = 8.0 g cm⁻³; E_tot = -8.65 eV/atom; DOS at the Fermi energy = 3.45 states/eV/f.u.
1.0
-1.907 1.907 4.813
1.907 -1.907 4.813
1.907 1.907 -4.813
Y Fe Mo
1 1 2
direct
0.000 0.000 0.000 Y
0.500 0.500 0.000 Fe
0.250 0.750 0.500 Mo
0.750 0.250 0.500 Mo

Entry 16:
YFeMo2, optimized geometry, DFT PBE; E above lowest polymorph = 243 meV/atom; DFT formation energy = 0.486 eV per atom; calculated density = 8.0 g cm⁻³; E_tot = -8.66 eV/atom; DOS at the Fermi energy = 5.04 states/eV/f.u.
1.0
3.793 0.000 0.000
0.000 3.793 0.000
0.000 0.000 4.887
Y Fe Mo
1 1 2
direct
0.000 0.000 0.000 Y
0.500 0.500 0.000 Fe
0.000 0.500 0.500 Mo
0.500 0.000 0.500 Mo

Entry 17:
YFe2Mo, optimized geometry, DFT PBE; E above lowest polymorph = 11 meV/atom; DFT formation energy = 0.184 eV per atom; calculated density = 7.7 g cm⁻³; E_tot = -8.37 eV/atom; DOS at the Fermi energy = 3.72 states/eV/f.u.
1.0
3.067 0.000 0.000
0.000 3.067 0.000
0.000 0.000 6.773
Y Fe Mo
1 2 1
direct
0.000 0.000 0.000 Y
0.500 0.500 0.301 Fe
0.500 0.500 0.699 Fe
0.000 0.000 0.500 Mo

Entry 18:
YFe2Mo2, optimized geometry, DFT PBE; E above lowest polymorph = 0 meV/atom; DFT formation energy = 0.038 eV per atom; calculated density = 7.7 g cm⁻³; E_tot = -8.97 eV/atom; DOS at the Fermi energy = 3.27 states/eV/f.u.
1.0
-2.089 2.089 4.864
2.089 -2.089 4.864
2.089 2.089 -4.864
Y Fe Mo
1 2 2
direct
0.000 0.000 0.000 Y
0.374 0.374 0.000 Fe
0.626 0.626 0.000 Fe
0.250 0.750 0.500 Mo
0.750 0.250 0.500 Mo

Entry 19:
YFeMo3, optimized geometry, DFT PBE; DFT formation energy = 0.775 eV per atom; calculated density = 7.5 g cm⁻³; E_tot = -8.71 eV/atom; DOS at the Fermi energy = 8.20 states/eV/f.u.
1.0
4.578 0.000 0.000
0.000 4.578 0.000
0.000 0.000 4.578
Y Fe Mo
1 1 3
direct
0.000 0.000 0.000 Y
0.500 0.500 0.500 Fe
0.000 0.500 0.500 Mo
0.500 0.000 0.500 Mo
0.500 0.500 0.000 Mo

Entry 20:
YFeMo2, optimized geometry, DFT PBE; E above lowest polymorph = 414 meV/atom; DFT formation energy = 0.657 eV per atom; calculated density = 8.1 g cm⁻³; E_tot = -8.49 eV/atom; DOS at the Fermi energy = 4.22 states/eV/f.u.
1.0
4.541 0.000 0.000
0.000 4.541 0.000
0.000 0.000 3.328
Y Fe Mo
1 1 2
direct
0.000 0.000 0.000 Y
0.500 0.500 0.000 Fe
0.000 0.500 0.500 Mo
0.500 0.000 0.500 Mo

Entry 21:
YFe2Mo, optimized geometry, DFT PBE; E above lowest polymorph = 159 meV/atom; DFT formation energy = 0.332 eV per atom; calculated density = 7.9 g cm⁻³; E_tot = -8.22 eV/atom; DOS at the Fermi energy = 3.53 states/eV/f.u.
1.0
0.000 3.148 3.148
3.148 0.000 3.148
3.148 3.148 0.000
Y Fe Mo
1 2 1
direct
0.000 0.000 0.000 Y
0.250 0.250 0.250 Fe
0.750 0.750 0.750 Fe
0.500 0.500 0.500 Mo

Entry 22:
YFeMo2, optimized geometry, DFT PBE; E above lowest polymorph = 259 meV/atom; DFT formation energy = 0.502 eV per atom; calculated density = 8.1 g cm⁻³; E_tot = -8.65 eV/atom; DOS at the Fermi energy = 5.24 states/eV/f.u.
1.0
2.696 -4.803 0.000
2.696 4.803 0.000
-0.910 0.000 2.653
Y Fe Mo
1 1 2
direct
0.000 0.000 0.000 Y
0.500 0.500 0.000 Fe
0.000 0.500 0.500 Mo
0.500 0.000 0.500 Mo

Entry 23:
YFeMo2, optimized geometry, DFT PBE; E above lowest polymorph = 180 meV/atom; DFT formation energy = 0.423 eV per atom; calculated density = 7.9 g cm⁻³; E_tot = -8.72 eV/atom; DOS at the Fermi energy = 4.17 states/eV/f.u.
1.0
-1.655 2.429 4.390
1.655 -2.429 4.390
1.655 2.429 -4.390
Y Fe Mo
1 1 2
direct
0.000 0.000 0.000 Y
0.268 0.768 0.500 Fe
0.500 0.500 0.000 Mo
0.723 0.223 0.500 Mo

Entry 24:
YFe2Mo, optimized geometry, DFT PBE; E above lowest polymorph = 192 meV/atom; DFT formation energy = 0.364 eV per atom; calculated density = 7.1 g cm⁻³; E_tot = -8.19 eV/atom; DOS at the Fermi energy = 4.15 states/eV/f.u.
1.0
4.413 -1.597 0.000
4.413 1.597 0.000
-1.459 0.000 4.918
Y Fe Mo
1 2 1
direct
0.000 0.000 0.000 Y
0.224 0.224 0.680 Fe
0.507 0.507 0.512 Fe
0.784 0.784 0.370 Mo

Entry 25:
YFe2Mo, optimized geometry, DFT PBE; E above lowest polymorph = 0 meV/atom; DFT formation energy = 0.173 eV per atom; calculated density = 6.7 g cm⁻³; E_tot = -8.38 eV/atom; DOS at the Fermi energy = 6.64 states/eV/f.u.
1.0
2.069 1.195 4.932
-2.069 1.195 4.932
0.000 -2.389 4.932
Y Fe Mo
1 2 1
direct
0.000 0.000 0.000 Y
0.198 0.198 0.198 Fe
0.802 0.802 0.802 Fe
0.500 0.500 0.500 Mo

Entry 26:
YFe11Mo, optimized geometry, DFT PBE; DFT formation energy = -0.014 eV per atom; calculated density = 7.9 g cm⁻³; E_tot = -8.51 eV/atom; DOS at the Fermi energy = 11.43 states/eV/f.u.
1.0
-2.349 4.216 4.261
2.349 -4.216 4.261
2.349 4.216 -4.261
Y Fe Mo
1 11 1
direct
0.000 0.000 0.000 Y
0.212 0.492 0.720 Fe
0.226 0.726 0.500 Fe
0.351 0.993 0.358 Fe
0.352 0.352 0.000 Fe
0.494 0.494 0.499 Fe
0.494 0.995 0.000 Fe
0.636 0.993 0.642 Fe
0.765 0.265 0.500 Fe
0.773 0.492 0.280 Fe
0.996 0.494 0.000 Fe
0.996 0.995 0.501 Fe
0.626 0.626 0.000 Mo

Entry 27:
YFe2Mo, optimized geometry, DFT PBE; E above lowest polymorph = 441 meV/atom; DFT formation energy = 0.614 eV per atom; calculated density = 7.2 g cm⁻³; E_tot = -7.94 eV/atom; DOS at the Fermi energy = 5.10 states/eV/f.u.
1.0
-3.443 3.443 2.901
3.443 -3.443 2.901
3.443 3.443 -2.901
Y Fe Mo
2 4 2
direct
0.000 0.000 0.000 Y
0.750 0.250 0.500 Y
0.176 0.625 0.051 Fe
0.375 0.426 0.551 Fe
0.574 0.125 0.949 Fe
0.875 0.824 0.449 Fe
0.250 0.750 0.500 Mo
0.500 0.500 0.000 Mo

Entry 28:
YFe2Mo, optimized geometry, DFT PBE; E above lowest polymorph = 299 meV/atom; DFT formation energy = 0.472 eV per atom; calculated density = 7.4 g cm⁻³; E_tot = -8.08 eV/atom; DOS at the Fermi energy = 5.40 states/eV/f.u.
1.0
-1.706 2.352 4.140
1.706 -2.352 4.140
1.706 2.352 -4.140
Y Fe Mo
1 2 1
direct
0.000 0.000 0.000 Y
0.273 0.773 0.500 Fe
0.727 0.227 0.500 Fe
0.500 0.500 0.000 Mo